Entry 1:
GaRhO2 PBE relaxed; space group = R-3m (166); crystal system = trigonal; ΔE_f (raw) = -0.697 eV/atom; magnetization = 0.0000 μB/atom; calculated total energy = -23.084 eV/cell
1.0
1.5377 0.8878 6.1469
-1.5377 0.8878 6.1469
0.0000 -1.7756 6.1469
Ga Rh O
1 1 2
direct
0.0000 0.0000 0.0000
0.5000 0.5000 0.5000
0.1107 0.1107 0.1107
0.8893 0.8893 0.8893



Entry 2:
GaRhO2 PBE relaxed; space group = I-42d (122); crystal system = tetragonal; ΔE_f (raw) = -0.701 eV/atom; magnetization = 0.4994 μB/atom; calculated total energy = -46.197 eV/cell
1.0
-2.4717 2.4717 4.3533
2.4717 -2.4717 4.3533
2.4717 2.4717 -4.3533
Ga Rh O
2 2 4
direct
0.0000 0.0000 0.0000
0.7500 0.2500 0.5000
0.2500 0.7500 0.5000
0.5000 0.5000 0.0000
0.0550 0.6250 0.9300
0.3750 0.3050 0.4300
0.6950 0.1250 0.0700
0.8750 0.9450 0.5700



Entry 3:
GaRhO2 PBE relaxed; space group = R-3m (166); crystal system = trigonal; ΔE_f (raw) = -1.136 eV/atom; magnetization = 0.1105 μB/atom; calculated total energy = -24.838 eV/cell
1.0
1.4430 0.8331 6.1637
-1.4430 0.8331 6.1637
0.0000 -1.6662 6.1637
Ga Rh O
1 1 2
direct
0.0000 0.0000 0.0000
0.5000 0.5000 0.5000
0.3901 0.3901 0.3901
0.6099 0.6099 0.6099